A plane-wave DFT calculation with PBE-GGA was carried out for a relaxed structure of AlAu3S.

abc: 4.860 4.860 4.860
angles: 90.00 90.00 90.00
Element x y z (fractional)
S 0.000 0.000 0.000
Au 0.500 0.000 0.000
Al 0.500 0.500 0.500
Au 0.000 0.500 0.000
Au 0.000 0.000 0.500

Summary:
total DFT energy (no corrections) = -3.043 eV per atom
formation energy from raw total energies = 0.50 eV per atom